No. 1
4
Lattice="2.8882 0.0000 0.0000 0.0000 2.8882 0.0000 0.0000 0.0000 7.4772" Properties=species:S:1:pos:R:3 comment="VInIr2 | Alexandria | PBE-GGA | relaxed" dos_ef_per_ev_cell=3.205 e_form_ev_per_atom=-0.311 pbc="T T T"
V 0.0000 0.0000 0.0000
In 0.0000 0.0000 3.7386
Ir 1.4441 1.4441 1.6550
Ir 1.4441 1.4441 5.8222

***

No. 2
12
Lattice="7.2769 -2.1977 0.0000 7.2769 2.1977 0.0000 -4.9147 0.0000 11.5567" Properties=species:S:1:pos:R:3 comment="Ho2Tm5Bi5 | Alexandria | PBE-GGA | relaxed" dos_ef_per_ev_cell=7.578 e_form_ev_per_atom=-0.516 pbc="T T T"
Ho -0.6664 0.0000 3.2954
Ho 10.3056 0.0000 8.2613
Tm 3.5503 0.0000 2.0279
Tm 2.5593 0.0000 5.4650
Tm 7.2769 0.0000 0.0000
Tm 7.0798 0.0000 6.0917
Tm 6.0889 0.0000 9.5289
Bi -2.4573 0.0000 5.7784
Bi -2.8507 0.0000 10.9280
Bi 0.8348 0.0000 8.3316
Bi 8.8044 0.0000 3.2252
Bi 12.4899 0.0000 0.6287

***

No. 3
4
Lattice="-1.4661 2.3793 6.2861 1.4661 -2.3793 6.2861 1.4661 2.3793 -6.2861" Properties=species:S:1:pos:R:3 comment="HgPtSe2 | Alexandria | PBE-GGA | relaxed" dos_ef_per_ev_cell=1.682 raw_formation_energy_ev_per_fu=0.59 de_polymorph_ev_per_fu=1.76 pbc="T T T"
Hg 0.0000 0.0000 0.0000
Pt 1.4661 0.0000 2.5735
Se 0.0000 0.0000 4.6702
Se 0.0000 2.3793 2.2176

***

No. 4
4
Lattice="4.2420 -1.3265 0.0000 4.2420 1.3265 0.0000 -0.5985 0.0000 5.1171" Properties=species:S:1:pos:R:3 comment="CdTcNi2 | Alexandria | PBE-GGA | relaxed" dos_ef_per_ev_cell=4.390 e_form_ev_per_atom=0.254 pbc="T T T"
Cd 0.0000 0.0000 0.0000
Tc 3.9427 0.0000 2.5585
Ni 1.6698 0.0000 3.6130
Ni 6.2156 0.0000 1.5040

***

No. 5
4
Lattice="1.4855 0.8577 11.3769 -1.4855 0.8577 11.3769 0.0000 -1.7153 11.3769" Properties=species:S:1:pos:R:3 comment="GaReSn2 | Alexandria | PBE-GGA | relaxed" dos_ef_per_ev_cell=3.371 e_form_ev_per_atom=0.709 pbc="T T T"
Ga 0.0000 0.0000 0.0000
Re 0.0000 0.0000 17.0654
Sn 0.0000 0.0000 14.2662
Sn 0.0000 0.0000 19.8646

***

No. 6
18
Lattice="-4.8153 4.8566 5.0171 4.8153 -4.8566 5.0171 4.8153 4.8566 -5.0171" Properties=species:S:1:pos:R:3 comment="Sm12Co5Sb | Alexandria | PBE-GGA | relaxed" dos_ef_per_ev_cell=12.614 raw_formation_energy_ev_per_fu=-4.16 pbc="T T T"
Sm 4.8153 2.9933 -3.0013
Sm 2.8484 1.8035 0.0000
Sm 6.7821 1.8035 0.0000
Sm 1.8547 4.8566 -1.8756
Sm 2.9606 0.0000 3.1416
Sm 0.0000 1.8633 2.0158
Sm 4.8153 2.9933 3.0013
Sm 1.8547 4.8566 1.8756
Sm 2.9606 0.0000 6.8927
Sm -1.9668 3.0531 5.0171
Sm 1.9668 3.0531 5.0171
Sm 0.0000 1.8633 8.0185
Co 0.0000 0.0000 0.0000
Co 4.8153 0.0000 1.1162
Co 0.0000 3.6920 0.0000
Co 0.0000 6.0212 0.0000
Co 0.0000 4.8566 3.9009
Sb 0.0000 0.0000 5.0171

***

No. 7
3
Lattice="0.0000 4.0064 4.0064 4.0064 0.0000 4.0064 4.0064 4.0064 0.0000" Properties=species:S:1:pos:R:3 comment="KYMg | Alexandria | PBE-GGA | relaxed" dos_ef_per_ev_cell=4.371 e_form_ev_per_atom=0.693 pbc="T T T"
K 0.0000 0.0000 0.0000
Y 4.0064 4.0064 4.0064
Mg 2.0032 2.0032 2.0032

***

No. 8
4
Lattice="4.4471 0.0000 0.0000 0.0000 4.4471 0.0000 0.0000 0.0000 4.4647" Properties=species:S:1:pos:R:3 comment="HoSc2Ge | Alexandria | PBE-GGA | relaxed" dos_ef_per_ev_cell=4.902 e_form_ev_per_atom=-0.360 de_polymorph_ev_per_fu=0.55 pbc="T T T"
Ho 0.0000 0.0000 0.0000
Sc 0.0000 2.2236 2.2324
Sc 2.2236 0.0000 2.2324
Ge 2.2236 2.2236 0.0000

***

No. 9
6
Lattice="0.0000 3.6443 3.6443 3.6443 0.0000 3.6443 3.6443 3.6443 0.0000" Properties=species:S:1:pos:R:3 comment="YP4W | Alexandria | PBE-GGA | relaxed" dos_ef_per_ev_cell=5.978 e_form_ev_per_atom=0.469 pbc="T T T"
Y 0.0000 0.0000 0.0000
P 4.5374 2.7512 2.7512
P 2.7512 4.5374 2.7512
P 2.7512 2.7512 4.5374
P 4.5374 4.5374 4.5374
W 1.8221 1.8221 1.8221

***

No. 10
11
Lattice="-1.9304 1.9304 14.6615 1.9304 -1.9304 14.6615 1.9304 1.9304 -14.6615" Properties=species:S:1:pos:R:3 comment="Sc3Ga2Au6 | Alexandria | PBE-GGA | relaxed" dos_ef_per_ev_cell=7.289 e_form_ev_per_atom=-0.447 pbc="T T T"
Sc 0.0000 0.0000 0.0000
Sc 0.0000 0.0000 5.1836
Sc 0.0000 0.0000 24.1393
Ga 0.0000 0.0000 10.6210
Ga 0.0000 0.0000 18.7020
Au 1.9304 0.0000 2.1523
Au 0.0000 0.0000 8.0260
Au 1.9304 0.0000 12.5092
Au 0.0000 1.9304 2.1523
Au 0.0000 0.0000 21.2969
Au 0.0000 1.9304 12.5092

***

No. 11
8
Lattice="5.4249 0.0000 0.0000 -2.7125 4.6981 0.0000 0.0000 0.0000 4.3468" Properties=species:S:1:pos:R:3 comment="CoRe3 | Alexandria | PBE-GGA | relaxed" dos_ef_per_ev_cell=7.537 e_form_ev_per_atom=-0.063 pbc="T T T"
Co 0.0000 3.1321 1.0867
Co 2.7125 1.5660 3.2601
Re 0.0000 1.5638 3.2601
Re -1.3581 3.9162 3.2601
Re 1.3543 0.7819 1.0867
Re 1.3581 3.9162 3.2601
Re 4.0706 0.7819 1.0867
Re 2.7125 3.1343 1.0867

***

No. 12
5
Lattice="4.5408 0.0000 0.0000 0.0000 4.5408 0.0000 0.0000 0.0000 4.5408" Properties=species:S:1:pos:R:3 comment="VCu3As | Alexandria | PBE-GGA | relaxed" dos_ef_per_ev_cell=3.997 e_form_ev_per_atom=1.325 pbc="T T T"
V 0.0000 0.0000 0.0000
Cu 0.0000 0.0000 2.2704
Cu 0.0000 2.2704 0.0000
Cu 2.2704 0.0000 0.0000
As 2.2704 2.2704 2.2704

***

No. 13
12
Lattice="3.9792 -6.3154 0.0000 3.9792 6.3154 0.0000 -2.2135 0.0000 3.5748" Properties=species:S:1:pos:R:3 comment="Mn5CuPd6 | Alexandria | PBE-GGA | relaxed" dos_ef_per_ev_cell=5.177 e_form_ev_per_atom=-0.195 pbc="T T T"
Mn 0.0000 0.0000 0.0000
Mn 2.8725 4.1840 1.7874
Mn 3.9792 2.0345 0.0000
Mn 3.9792 -2.0345 0.0000
Mn 2.8725 -4.1840 1.7874
Cu 2.8725 0.0000 1.7874
Pd 1.4249 2.1073 0.8862
Pd 0.3016 0.0000 2.6625
Pd 1.4249 -2.1073 0.8862
Pd 4.3200 2.1073 2.6887
Pd 5.4433 0.0000 0.9124
Pd 4.3200 -2.1073 2.6887

***

No. 14
5
Lattice="5.0885 0.0000 0.0000 0.0000 5.0885 0.0000 0.0000 0.0000 5.0885" Properties=species:S:1:pos:R:3 comment="Ag3WS | Alexandria | PBE-GGA | relaxed" dos_ef_per_ev_cell=6.068 raw_formation_energy_ev_per_fu=9.67 de_polymorph_ev_per_fu=2.86 pbc="T T T"
Ag 0.0000 0.0000 2.5443
Ag 0.0000 2.5443 0.0000
Ag 2.5443 0.0000 0.0000
W 0.0000 0.0000 0.0000
S 2.5443 2.5443 2.5443

***

No. 15
8
Lattice="5.6378 0.0000 0.0000 0.0000 5.6378 0.0000 0.0000 0.0000 4.0142" Properties=species:S:1:pos:R:3 comment="USbRh6 | Alexandria | PBE-GGA | relaxed" dos_ef_per_ev_cell=6.391 raw_formation_energy_ev_per_fu=-3.75 pbc="T T T"
U 0.0000 0.0000 0.0000
Sb 2.8189 2.8189 0.0000
Rh 0.0000 2.8189 0.0000
Rh 1.3764 1.3764 2.0071
Rh 1.3764 4.2614 2.0071
Rh 2.8189 0.0000 0.0000
Rh 4.2614 1.3764 2.0071
Rh 4.2614 4.2614 2.0071

***

No. 16
6
Lattice="-3.5041 3.5041 2.8363 3.5041 -3.5041 2.8363 3.5041 3.5041 -2.8363" Properties=species:S:1:pos:R:3 comment="AgHg2 | Alexandria | PBE-GGA | relaxed" dos_ef_per_ev_cell=1.595 e_form_ev_per_atom=0.052 de_polymorph_ev_per_fu=0.00 pbc="T T T"
Ag 0.0000 0.0000 1.4181
Ag 0.0000 0.0000 4.2544
Hg 4.6024 1.0983 0.0000
Hg 1.0983 2.4058 0.0000
Hg 2.4058 1.0983 2.8363
Hg -1.0983 2.4058 2.8363

***

No. 17
4
Lattice="0.0000 3.2638 3.2638 3.2638 0.0000 3.2638 3.2638 3.2638 0.0000" Properties=species:S:1:pos:R:3 comment="AlBr2O | Alexandria | PBE-GGA | relaxed" dos_ef_per_ev_cell=3.415 raw_formation_energy_ev_per_fu=1.20 de_polymorph_ev_per_fu=5.62 pbc="T T T"
Al 0.0000 0.0000 0.0000
Br 1.6319 1.6319 1.6319
Br 4.8957 4.8957 4.8957
O 3.2638 3.2638 3.2638

***

No. 18
5
Lattice="-1.8590 1.8590 4.1146 1.8590 -1.8590 4.1146 1.8590 1.8590 -4.1146" Properties=species:S:1:pos:R:3 comment="MnTc2C2 | Alexandria | PBE-GGA | relaxed" dos_ef_per_ev_cell=5.751 e_form_ev_per_atom=0.940 de_polymorph_ev_per_fu=0.00 pbc="T T T"
Mn 0.0000 0.0000 0.0000
Tc 0.0000 0.0000 2.9116
Tc 0.0000 0.0000 5.3175
C 1.8590 0.0000 2.0573
C 0.0000 1.8590 2.0573

***

No. 19
12
Lattice="3.9129 -5.2410 0.0000 3.9129 5.2410 0.0000 0.0000 0.0000 5.7326" Properties=species:S:1:pos:R:3 comment="DyGa3CoPd | Alexandria | PBE-GGA | relaxed" dos_ef_per_ev_cell=6.866 e_form_ev_per_atom=-0.318 pbc="T T T"
Dy 3.9129 2.7760 4.2994
Dy 3.9129 -2.7760 1.4331
Ga 1.8585 0.0000 0.0000
Ga 1.8585 0.0000 2.8663
Ga 3.9129 2.7047 1.4331
Ga 3.9129 -2.7047 4.2994
Ga 5.9674 0.0000 0.0000
Ga 5.9674 0.0000 2.8663
Co 3.9129 4.9514 1.4331
Co 3.9129 -4.9514 4.2994
Pd 3.9129 0.3054 1.4331
Pd 3.9129 -0.3054 4.2994

***

No. 20
14
Lattice="6.9095 0.0000 0.0000 0.0000 7.1193 0.0000 -3.1479 0.0000 9.4329" Properties=species:S:1:pos:R:3 comment="CsCeGeSe4 | Alexandria | PBE-GGA | relaxed" dos_ef_per_ev_cell=15.979 raw_formation_energy_ev_per_fu=-7.92 pbc="T T T"
Cs 0.3021 1.7798 4.1386
Cs 3.4595 5.3395 5.2943
Ce -1.1371 1.7798 8.9634
Ce 4.8987 5.3395 0.4695
Ge 1.4479 5.3395 1.5918
Ge 2.3137 1.7798 7.8411
Se -2.3829 5.3395 8.7509
Se -0.4228 5.3395 3.0341
Se 0.8384 3.6347 7.5097
Se 0.8384 7.0443 7.5097
Se 2.9232 0.0751 1.9232
Se 2.9232 3.4846 1.9232
Se 4.1844 1.7798 6.3988
Se 6.1444 1.7798 0.6820

***

No. 21
5
Lattice="4.7582 0.0000 0.0000 0.0000 4.7582 0.0000 0.0000 0.0000 4.7282" Properties=species:S:1:pos:R:3 comment="Y2HfZrH | Alexandria | PBE-GGA | relaxed" dos_ef_per_ev_cell=6.128 energy_ev_per_atom=-6.970 pbc="T T T"
Y 0.0000 2.3791 0.0000
Y 2.3791 0.0000 0.0000
Hf 0.0000 0.0000 2.3641
Zr 2.3791 2.3791 2.3641
H 2.3791 2.3791 0.0000

***

No. 22
4
Lattice="3.6150 -2.0242 0.0000 3.6150 2.0242 0.0000 -2.4337 0.0000 5.7894" Properties=species:S:1:pos:R:3 comment="ZnCu2Br | Alexandria | PBE-GGA | relaxed" dos_ef_per_ev_cell=1.621 raw_formation_energy_ev_per_fu=0.20 de_polymorph_ev_per_fu=0.01 pbc="T T T"
Zn 0.0000 0.0000 0.0000
Cu 0.0261 0.0000 4.5613
Cu 2.3848 0.0000 5.0050
Br -0.9080 0.0000 2.3218

***

No. 23
4
Lattice="0.0000 3.6297 3.6297 3.6297 0.0000 3.6297 3.6297 3.6297 0.0000" Properties=species:S:1:pos:R:3 comment="AlGaHgPb | Alexandria | PBE-GGA | relaxed" dos_ef_per_ev_cell=1.555 e_form_ev_per_atom=0.166 pbc="T T T"
Al 0.0000 0.0000 0.0000
Ga 3.6297 3.6297 3.6297
Hg 5.4446 5.4446 5.4446
Pb 1.8149 1.8149 1.8149

***

No. 24
12
Lattice="2.9725 -5.5989 0.0000 2.9725 5.5989 0.0000 0.0000 0.0000 11.8955" Properties=species:S:1:pos:R:3 comment="PmPrDy3Y | Alexandria | PBE-GGA | relaxed" dos_ef_per_ev_cell=25.027 e_form_ev_per_atom=0.114 pbc="T T T"
Pm 2.9725 5.5849 8.9216
Pm 2.9725 -5.5849 2.9739
Pr 2.9725 0.0000 0.0000
Pr 2.9725 0.0000 5.9477
Dy 2.9725 3.6776 0.0155
Dy 2.9725 3.6776 5.9322
Dy 2.9725 1.9230 2.9739
Dy 2.9725 -1.9230 8.9216
Dy 2.9725 -3.6776 5.9632
Dy 2.9725 -3.6776 11.8800
Y 2.9725 1.9289 8.9216
Y 2.9725 -1.9289 2.9739

***

No. 25
4
Lattice="3.2206 0.0000 0.0000 0.0000 3.2004 0.0000 -1.6024 0.0000 8.0884" Properties=species:S:1:pos:R:3 comment="TlInMo2 | Alexandria | PBE-GGA | relaxed" dos_ef_per_ev_cell=2.742 e_form_ev_per_atom=0.327 de_polymorph_ev_per_fu=0.00 pbc="T T T"
Tl 0.0000 0.0000 0.0000
In 1.6218 1.6002 5.3085
Mo 0.0139 0.0000 3.3964
Mo 1.6167 1.6002 2.0796

***

No. 26
4
Lattice="2.7652 -3.9031 0.0000 2.7652 3.9031 0.0000 0.0000 0.0000 2.7692" Properties=species:S:1:pos:R:3 comment="ReOs2W | Alexandria | PBE-GGA | relaxed" dos_ef_per_ev_cell=3.799 e_form_ev_per_atom=0.043 de_polymorph_ev_per_fu=0.22 pbc="T T T"
Re 0.0000 0.0000 0.0000
Os 1.3826 1.9515 1.3846
Os 1.3826 -1.9515 1.3846
W 2.7652 0.0000 0.0000